1.
Material: Sm4Pb2N
Method: DFT, PBE-GGA
State: relaxed

abc: 4.873 4.873 16.465
angles: 90.00 90.00 90.00
Space group I4/mmm (No. 139)
Unique sites:
Sm: 0.000 0.000 0.158 (multiplicity 4)
Sm: 0.000 0.500 0.000 (multiplicity 4)
Pb: 0.000 0.000 0.356 (multiplicity 4)
N: 0.000 0.000 0.000 (multiplicity 2)

Output
formation energy from raw total energies = -803 meV per atom
spin magnetization = 0.0 μB/cell
energy relative to the lowest polymorph listed for this composition = 0 meV per atom

2.
Material: Sm3PbN
Method: DFT, PBE-GGA
State: relaxed

abc: 9.988 13.840 3.672
angles: 90.00 90.00 90.00
Space group Cmmm (No. 65)
Unique sites:
Sm: 0.000 0.211 0.000 (multiplicity 4)
Sm: 0.210 0.366 0.500 (multiplicity 8)
Pb: 0.000 0.000 0.500 (multiplicity 2)
Pb: 0.000 0.500 0.000 (multiplicity 2)
N: 0.250 0.250 0.000 (multiplicity 4)

Output
formation energy from raw total energies = -835 meV per atom
spin magnetization = 0.9 μB/cell

3.
Material: Sm2Pb2N
Method: DFT, PBE-GGA
State: relaxed

abc: 3.6205 3.6205 33.2206
angles: 90.00 90.00 120.00
Space group R-3m (No. 166, hexagonal axes)
Unique sites:
Sm: 0.0000 0.0000 0.2076 (multiplicity 6)
Pb: 0.0000 0.0000 0.0454 (multiplicity 6)
N: 0.0000 0.0000 0.5000 (multiplicity 3)

Output
formation energy from raw total energies = -737 meV per atom
spin magnetization = 0.0 μB/cell

4.
Material: Sm4Pb2N
Method: DFT, PBE-GGA
State: relaxed

abc: 6.679 6.911 9.451
angles: 90.00 110.16 90.00
Space group P2_1/m (No. 11)
Unique sites:
Sm: 0.181 0.250 0.047 (multiplicity 2)
Sm: 0.241 0.000 0.718 (multiplicity 4)
Sm: 0.268 0.750 0.341 (multiplicity 2)
Pb: 0.235 0.250 0.409 (multiplicity 2)
Pb: 0.339 0.750 0.031 (multiplicity 2)
N: 0.088 0.250 0.791 (multiplicity 2)

Output
formation energy from raw total energies = -765 meV per atom
spin magnetization = 1.2 μB/cell
energy relative to the lowest polymorph listed for this composition = 38 meV per atom

5.
Material: Sm4PbN
Method: DFT, PBE-GGA
State: relaxed

abc: 8.171 16.580 6.141
angles: 90.00 121.13 90.00
Space group C2/c (No. 15)
Unique sites:
Sm: 0.162 0.222 0.162 (multiplicity 8)
Sm: 0.201 0.058 0.639 (multiplicity 8)
Pb: 0.000 0.396 0.750 (multiplicity 4)
N: 0.000 0.001 0.250 (multiplicity 4)

Output
formation energy from raw total energies = -548 meV per atom
spin magnetization = 0.0 μB/cell

6.
Material: Sm4SnPbN
Method: DFT, PBE-GGA
State: relaxed

abc: 6.863 16.414 6.860
angles: 90.00 90.00 90.00
Space group Cmcm (No. 63)
Unique sites:
Sm: 0.000 0.090 0.250 (multiplicity 4)
Sm: 0.000 0.408 0.250 (multiplicity 4)
Sm: 0.250 0.250 0.000 (multiplicity 8)
Sn: 0.000 0.109 0.750 (multiplicity 4)
Pb: 0.000 0.394 0.750 (multiplicity 4)
N: 0.000 0.251 0.250 (multiplicity 4)

Output
formation energy from raw total energies = -861 meV per atom
spin magnetization = 0.0 μB/cell

7.
Material: Tb2SmPbN
Method: DFT, PBE-GGA
State: relaxed

abc: 4.854 4.854 4.969
angles: 90.00 90.00 90.00
Space group P4/mmm (No. 123)
Unique sites:
Tb: 0.000 0.500 0.000 (multiplicity 2)
Sm: 0.000 0.000 0.500 (multiplicity 1)
Pb: 0.500 0.500 0.500 (multiplicity 1)
N: 0.000 0.000 0.000 (multiplicity 1)

Output
formation energy from raw total energies = -939 meV per atom
spin magnetization = 0.0 μB/cell

8.
Material: TbSm2PbN
Method: DFT, PBE-GGA
State: relaxed

abc: 4.967 4.967 4.848
angles: 90.00 90.00 90.00
Space group P4/mmm (No. 123)
Unique sites:
Tb: 0.000 0.000 0.000 (multiplicity 1)
Sm: 0.000 0.500 0.500 (multiplicity 2)
Pb: 0.500 0.500 0.000 (multiplicity 1)
N: 0.000 0.000 0.500 (multiplicity 1)

Output
formation energy from raw total energies = -926 meV per atom
spin magnetization = 0.0 μB/cell

> Which formula does entry 3 have?

Sm2Pb2N

Copy entry 6 word for word.
Material: Sm4SnPbN
Method: DFT, PBE-GGA
State: relaxed

abc: 6.863 16.414 6.860
angles: 90.00 90.00 90.00
Space group Cmcm (No. 63)
Unique sites:
Sm: 0.000 0.090 0.250 (multiplicity 4)
Sm: 0.000 0.408 0.250 (multiplicity 4)
Sm: 0.250 0.250 0.000 (multiplicity 8)
Sn: 0.000 0.109 0.750 (multiplicity 4)
Pb: 0.000 0.394 0.750 (multiplicity 4)
N: 0.000 0.251 0.250 (multiplicity 4)

Output
formation energy from raw total energies = -861 meV per atom
spin magnetization = 0.0 μB/cell